Record 1
DFT (PBE-GGA) results for an optimized crystal structure of Zn4PbAu2.

a = 7.9574 Å, b = 7.9574 Å, c = 4.1836 Å
α = 90.00°, β = 90.00°, γ = 90.00°
Fractional coordinates of all 14 atoms:
Zn 0.0919 0.3547 0.0000
Zn 0.1453 0.5919 0.5000
Zn 0.3547 0.0919 0.0000
Zn 0.4081 0.8547 0.5000
Zn 0.5919 0.1453 0.5000
Zn 0.6453 0.9081 0.0000
Zn 0.8547 0.4081 0.5000
Zn 0.9081 0.6453 0.0000
Pb 0.0000 0.0000 0.5000
Pb 0.5000 0.5000 0.0000
Au 0.2155 0.7845 0.0000
Au 0.2845 0.2845 0.5000
Au 0.7155 0.7155 0.5000
Au 0.7845 0.2155 0.0000

Summary:
The value obtained for the total energy is -2.32 eV/atom. The formation energy is -123 meV/atom. Its space group is P4_2/mnm. As for the size of the total moment: 0.00 μB per cell. The density of states at the Fermi level comes out at 3.9 states/eV per cell.

---

Record 2
DFT (PBE-GGA) results for an optimized crystal structure of ZnPb2Au.

a = 8.1830 Å, b = 8.1830 Å, c = 8.1830 Å
α = 27.52°, β = 27.52°, γ = 27.52°
Fractional coordinates of all 4 atoms:
Zn 0.0000 0.0000 0.0000
Pb 0.2480 0.2480 0.2480
Pb 0.7520 0.7520 0.7520
Au 0.5000 0.5000 0.5000

Summary:
The value obtained for the total energy is -2.92 eV/atom. The formation energy is 70 meV/atom. Its space group is R-3m. As for the size of the total moment: 0.00 μB per cell. The density of states at the Fermi level comes out at 1.4 states/eV per cell.

---

Record 3
DFT (PBE-GGA) results for an optimized crystal structure of Zn2Pb2Au.

a = 8.1890 Å, b = 8.1890 Å, c = 3.6611 Å
α = 90.00°, β = 90.00°, γ = 90.00°
Fractional coordinates of all 10 atoms:
Zn 0.1105 0.3895 0.0000
Zn 0.3895 0.8895 0.0000
Zn 0.6105 0.1105 0.0000
Zn 0.8895 0.6105 0.0000
Pb 0.1951 0.6951 0.5000
Pb 0.3049 0.1951 0.5000
Pb 0.6951 0.8049 0.5000
Pb 0.8049 0.3049 0.5000
Au 0.0000 0.0000 0.5000
Au 0.5000 0.5000 0.5000

Summary:
The value obtained for the total energy is -2.46 eV/atom. The formation energy is 192 meV/atom. As for the excess energy over the best structure of this formula in the dataset: 0.178 eV/atom. Its space group is P4/mbm. As for the size of the total moment: 0.00 μB per cell. The density of states at the Fermi level comes out at 2.8 states/eV per cell.

---

Record 4
DFT (PBE-GGA) results for an optimized crystal structure of Zn2PbAu.

a = 4.8857 Å, b = 4.8857 Å, c = 4.8857 Å
α = 60.00°, β = 60.00°, γ = 60.00°
Fractional coordinates of all 4 atoms:
Zn 0.0000 0.0000 0.0000
Zn 0.2500 0.2500 0.2500
Pb 0.7500 0.7500 0.7500
Au 0.5000 0.5000 0.5000

Summary:
The value obtained for the total energy is -2.26 eV/atom. The formation energy is 121 meV/atom. Its space group is F-43m. As for the size of the total moment: 0.00 μB per cell. The density of states at the Fermi level comes out at 0.5 states/eV per cell.

---

Record 5
DFT (PBE-GGA) results for an optimized crystal structure of Zn2PbAu.

a = 3.9533 Å, b = 3.9533 Å, c = 10.5671 Å
α = 90.00°, β = 90.00°, γ = 90.00°
Fractional coordinates of all 8 atoms:
Zn 0.2500 0.2500 0.0608
Zn 0.2500 0.7500 0.5000
Zn 0.7500 0.2500 0.5000
Zn 0.7500 0.7500 0.9392
Pb 0.2500 0.2500 0.7880
Pb 0.7500 0.7500 0.2120
Au 0.2500 0.2500 0.3251
Au 0.7500 0.7500 0.6749

Summary:
The value obtained for the total energy is -2.41 eV/atom. The formation energy is -22 meV/atom. Its space group is P4/nmm. As for the size of the total moment: 0.00 μB per cell. The density of states at the Fermi level comes out at 4.1 states/eV per cell.

---

Record 6
DFT (PBE-GGA) results for an optimized crystal structure of ZnPb2Au2.

a = 8.6456 Å, b = 8.6456 Å, c = 8.6456 Å
α = 29.05°, β = 29.05°, γ = 29.05°
Fractional coordinates of all 5 atoms:
Zn 0.0000 0.0000 0.0000
Pb 0.4328 0.4328 0.4328
Pb 0.5672 0.5672 0.5672
Au 0.2948 0.2948 0.2948
Au 0.7052 0.7052 0.7052

Summary:
The value obtained for the total energy is -3.11 eV/atom. The formation energy is -57 meV/atom. As for the excess energy over the best structure of this formula in the dataset: 0.000 eV/atom. Its space group is R-3m. As for the size of the total moment: 0.00 μB per cell. The density of states at the Fermi level comes out at 2.7 states/eV per cell.